[1]
VASP calculation (GGA-PBE) on a relaxed VSbI crystal.

## Properties
magnetization	0.0	μB/cell
formation energy (no corrections)	-0.0028	eV per atom
uncorrected energy	-4.93	eV per atom

Unit cell a=13.4157 b=3.6440 c=6.4880 alpha=90.00 beta=94.31 gamma=90.00
Space group C2/m (No. 12)
One atom of each set of equivalent atoms:
V 0.2419 0.0000 0.1921 x4
Sb 0.1087 0.5000 0.0497 x4
I 0.1414 0.0000 0.5650 x4

=====

[2]
VASP calculation (GGA-PBE) on a relaxed LaTbPrTm3 crystal.

## Properties
magnetization	0.0	μB/cell
uncorrected energy	-4.52	eV per atom
energy of formation	0.11	eV per atom

Unit cell a=5.8419 b=11.5532 c=11.6925 alpha=90.00 beta=90.00 gamma=90.00
Space group Cmcm (No. 63)
One atom of each set of equivalent atoms:
La 0.0000 0.0048 0.2500 x4
Tb 0.0000 0.3230 0.2500 x4
Pr 0.0000 0.5000 0.0000 x4
Tm 0.0000 0.1751 0.5044 x8
Tm 0.0000 0.3289 0.7500 x4

=====

[3]
VASP calculation (GGA-PBE) on a relaxed Sm2ZnGa6Cu crystal.

## Properties
magnetization	0.0	μB/cell
uncorrected energy	-3.59	eV per atom
energy of formation	-0.29	eV per atom

Unit cell a=6.3077 b=6.3077 c=34.8210 alpha=90.00 beta=90.00 gamma=120.00
Space group R-3m (No. 166, hexagonal axes)
One atom of each set of equivalent atoms:
Sm 0.0000 0.0000 0.1067 x6
Sm 0.0000 0.0000 0.2841 x6
Zn 0.0000 0.0000 0.4277 x6
Ga 0.0458 0.5229 0.2981 x18
Ga 0.0661 0.5331 0.8651 x18
Cu 0.0000 0.0000 0.0000 x3
Cu 0.0000 0.0000 0.5000 x3

=====

[4]
VASP calculation (GGA-PBE) on a relaxed BaMnAg4 crystal.

## Properties
magnetization	17.4	μB/cell
uncorrected energy	-3.59	eV per atom
energy of formation	0.15	eV per atom

Unit cell a=8.1676 b=8.1676 c=8.1676 alpha=90.00 beta=90.00 gamma=90.00
Space group F-43m (No. 216)
One atom of each set of equivalent atoms:
Ba 0.0000 0.0000 0.0000 x4
Mn 0.2500 0.2500 0.7500 x4
Ag 0.1236 0.1236 0.3764 x16

=====

| no. | ρ (g/cm³) | D(E_F) (states/eV/f.u.) |
| --- | --- | --- |
| 1 | 6.3 | 1.13 |
| 2 | 8.0 | 11.71 |
| 3 | 7.0 | 4.53 |
| 4 | 7.6 | 6.23 |